No. 1
Dy12Tm7In, optimized geometry, DFT GGA-PBE; DFT total energy = -4.291 eV/atom; energy of formation = 172 meV/atom
1.0
5.9972 3.4625 5.0498
-5.9972 3.4625 5.0498
0.0000 -6.9250 5.0498
Dy Tm In
12 7 1
direct
0.0006 0.3554 0.8834
0.1166 0.9994 0.6446
0.2391 0.6313 0.7565
0.2435 0.7609 0.3687
0.3554 0.8834 0.0006
0.3687 0.2435 0.7609
0.6313 0.7565 0.2391
0.6446 0.1166 0.9994
0.7565 0.2391 0.6313
0.7609 0.3687 0.2435
0.8834 0.0006 0.3554
0.9994 0.6446 0.1166
0.0000 0.0000 0.0000
0.1169 0.3536 0.4421
0.3536 0.4421 0.1169
0.4421 0.1169 0.3536
0.5579 0.8831 0.6464
0.6464 0.5579 0.8831
0.8831 0.6464 0.5579
0.5000 0.5000 0.5000

No. 2
LiMgTa, optimized geometry, DFT GGA-PBE; distance to the lowest polymorph of the same formula = 1.04 eV per formula unit; DFT total energy = -4.692 eV/atom; energy of formation = 429 meV/atom
1.0
5.1483 0.0000 0.0000
0.0000 4.8304 0.0000
0.0000 0.0000 8.5722
Li Mg Ta
4 4 4
direct
0.1906 0.2500 0.1303
0.3094 0.7500 0.6303
0.6906 0.2500 0.3697
0.8094 0.7500 0.8697
0.1760 0.2500 0.4472
0.3240 0.7500 0.9472
0.6760 0.2500 0.0528
0.8240 0.7500 0.5528
0.0592 0.2500 0.7921
0.4408 0.7500 0.2921
0.5592 0.2500 0.7079
0.9408 0.7500 0.2079

No. 3
NaH3Ir, optimized geometry, DFT GGA-PBE; distance to the lowest polymorph of the same formula = 0.00 eV per formula unit; DFT total energy = -4.249 eV/atom
1.0
3.5554 0.0000 0.0000
0.0000 3.5554 0.0000
0.0000 0.0000 3.5554
Na H Ir
1 3 1
direct
0.0000 0.0000 0.0000
0.0000 0.5000 0.5000
0.5000 0.0000 0.5000
0.5000 0.5000 0.0000
0.5000 0.5000 0.5000

No. 4
Er6Tm8Sc, optimized geometry, DFT GGA-PBE; distance to the lowest polymorph of the same formula = 0.00 eV per formula unit; DFT total energy = -4.510 eV/atom; energy of formation = 122 meV/atom
1.0
4.4421 2.5646 6.7298
-4.4421 2.5646 6.7298
0.0000 -5.1293 6.7298
Er Tm Sc
6 8 1
direct
0.1242 0.2070 0.5454
0.2070 0.5454 0.1242
0.4546 0.8758 0.7930
0.5454 0.1242 0.2070
0.7930 0.4546 0.8758
0.8758 0.7930 0.4546
0.1085 0.7406 0.7240
0.2594 0.2760 0.8915
0.2760 0.8915 0.2594
0.4239 0.4239 0.4239
0.5761 0.5761 0.5761
0.7240 0.1085 0.7406
0.7406 0.7240 0.1085
0.8915 0.2594 0.2760
0.0000 0.0000 0.0000

No. 5
LaGa2NiHg, optimized geometry, DFT GGA-PBE; distance to the lowest polymorph of the same formula = 0.03 eV per formula unit; DFT total energy = -3.756 eV/atom; energy of formation = -343 meV/atom
1.0
4.6702 0.0000 0.0000
0.0000 4.6702 0.0000
0.0000 0.0000 4.9747
La Ga Ni Hg
1 2 1 1
direct
0.0000 0.0000 0.0000
0.0000 0.5000 0.5000
0.5000 0.0000 0.5000
0.5000 0.5000 0.5000
0.5000 0.5000 0.0000

No. 6
Ho2MgOs, optimized geometry, DFT GGA-PBE; DFT total energy = -5.569 eV/atom; energy of formation = -74 meV/atom
1.0
4.8954 0.0000 0.0000
0.0000 4.8954 0.0000
0.0000 0.0000 3.6465
Ho Mg Os
2 1 1
direct
0.0000 0.5000 0.0000
0.5000 0.0000 0.0000
0.0000 0.0000 0.5000
0.5000 0.5000 0.5000